First-principles (GGA-PBE) data for a geometry-optimized Ce2DyFe structure, as listed in the Alexandria database.

The excess energy over the best structure of this formula in the dataset comes out at 0.1793 eV per atom. The volume comes out at 104 Å³/f.u. The formation energy comes out at 0.1070 eV/atom.

It has space group R3m (No. 160, hexagonal axes), with a = 3.7351 Å, b = 3.7351 Å, c = 25.9159 Å, α = 90.00°, β = 90.00° and γ = 120.00°. The inequivalent atoms are Ce at (0.0000, 0.0000, 0.0000), Ce at (0.0000, 0.0000, 0.2172), Dy at (0.0000, 0.0000, 0.4421) and Fe at (0.0000, 0.0000, 0.6056).